# 1
Computed, not measured: a relaxed structure of NdLuTe at the PBE level of DFT.

Properties
Crystal system: tetragonal
E_form (uncorrected) in eV/atom: -0.7604
Spin magnetization in μB per formula unit: 0.00

abc: 3.8981 3.8981 11.6712
angles: 90.00 90.00 90.00
Last column: nearest neighbours and their distance in Å.
Sites, in units of the cell vectors:
Nd1 0.0000 0.0000 0.0000  5 Te 3.43-3.79, 5 Lu 3.52-3.65
Nd2 0.5000 0.5000 0.5000  5 Te 3.43-3.79, 5 Lu 3.52-3.65
Lu1 0.0000 0.0000 0.3127  4 Te 3.19, 4 Nd 3.52
Lu2 0.5000 0.5000 0.8127  4 Te 3.19, 4 Nd 3.52
Te1 0.0000 0.0000 0.6754  4 Lu 3.19, 4 Nd 3.43
Te2 0.5000 0.5000 0.1754  4 Lu 3.19, 4 Nd 3.43

***

# 2
Computed, not measured: a relaxed structure of Al4Cu8Ge at the PBE level of DFT.

Properties
Crystal system: orthorhombic
Formation enthalpy at 0 K in eV/atom: -0.087
Spin magnetization in μB per formula unit: 0.00

abc: 3.4762 3.7790 13.6235
angles: 90.00 90.00 90.00
Last column: nearest neighbours and their distance in Å.
Sites, in units of the cell vectors:
Al1 0.0000 0.0000 0.0000  10 Cu 2.54-2.67, 2 Al 2.81
Al2 0.0000 0.5000 0.1524  10 Cu 2.57-2.65, 2 Al 2.81
Al3 0.5000 0.0000 0.4228  10 Cu 2.56-2.60
Al4 0.5000 0.5000 0.5877  6 Cu 2.59-2.74
Cu1 0.0000 0.0000 0.2841  4 Al 2.57-2.61, 8 Cu 2.57-2.77
Cu2 0.0000 0.0000 0.5610  1 Ge 2.36, 6 Al 2.56-2.59, 2 Cu 2.58
Cu3 0.0000 0.5000 0.4325  6 Al 2.57-2.74, 6 Cu 2.58-2.77
Cu4 0.0000 0.5000 0.8617  2 Ge 2.56, 6 Cu 2.57-2.62, 2 Al 2.67
Cu5 0.5000 0.0000 0.1433  6 Al 2.57-2.61, 6 Cu 2.59-2.76
Cu6 0.5000 0.0000 0.8641  2 Ge 2.48, 2 Al 2.54, 6 Cu 2.57-2.70
Cu7 0.5000 0.5000 0.0055  6 Al 2.57-2.65, 6 Cu 2.62-2.70
Cu8 0.5000 0.5000 0.2912  4 Al 2.57-2.60, 8 Cu 2.57-2.76
Ge1 0.0000 0.0000 0.7346  5 Cu 2.36-2.56

***

# 3
Computed, not measured: a relaxed structure of MgZrTi3 at the PBE level of DFT.

Properties
Crystal system: cubic
Formation enthalpy at 0 K in eV/atom: 1.174
Spin magnetization in μB per formula unit: 3.41

abc: 4.7819 4.7819 4.7819
angles: 90.00 90.00 90.00
Last column: nearest neighbours and their distance in Å.
Sites, in units of the cell vectors:
Mg1 0.0000 0.0000 0.0000  6 Ti 2.39
Zr1 0.5000 0.5000 0.5000  12 Ti 3.38
Ti1 0.0000 0.0000 0.5000  2 Mg 2.39
Ti2 0.0000 0.5000 0.0000  2 Mg 2.39
Ti3 0.5000 0.0000 0.0000  2 Mg 2.39

***

# 4
Computed, not measured: a relaxed structure of Ta6GeN at the PBE level of DFT.

Properties
Crystal system: triclinic
E_form (uncorrected) in eV/atom: -0.0585
Spin magnetization in μB per formula unit: 0.00

abc: 5.5260 5.5268 6.0809
angles: 90.02 116.91 119.95
Last column: nearest neighbours and their distance in Å.
Sites, in units of the cell vectors:
Ta1 0.0476 0.4749 0.2734  1 N 2.17
Ta2 0.2977 0.2741 0.7264  1 N 2.17
Ta3 0.2990 0.0718 0.2754  1 N 2.17
Ta4 0.7010 0.9282 0.7246  1 N 2.17
Ta5 0.7023 0.7259 0.2736  1 N 2.17
Ta6 0.9524 0.5251 0.7266  1 N 2.17
Ge1 0.5000 0.0000 0.0000  6 Ta 2.51
N1 0.5000 0.5000 0.5000  6 Ta 2.17

***

# 5
Computed, not measured: a relaxed structure of Be2NbSb at the PBE level of DFT.

Properties
Crystal system: tetragonal
E_form (uncorrected) in eV/atom: 0.5391
Spin magnetization in μB per formula unit: 0.00

abc: 6.8349 6.8349 5.4508
angles: 90.00 90.00 90.00
Last column: nearest neighbours and their distance in Å.
Sites, in units of the cell vectors:
Be1 0.2430 0.2500 0.1250  2 Sb 2.48, 2 Nb 2.54, 2 Be 2.73
Be2 0.2500 0.7430 0.3750  2 Sb 2.48, 2 Nb 2.54, 2 Be 2.73
Be3 0.2500 0.7570 0.8750  2 Sb 2.48, 2 Nb 2.54, 2 Be 2.73
Be4 0.2570 0.2500 0.6250  2 Sb 2.48, 2 Nb 2.54, 2 Be 2.73
Be5 0.7430 0.7500 0.6250  2 Sb 2.48, 2 Nb 2.54, 2 Be 2.73
Be6 0.7500 0.2430 0.8750  2 Sb 2.48, 2 Nb 2.54, 2 Be 2.73
Be7 0.7500 0.2570 0.3750  2 Sb 2.48, 2 Nb 2.54, 2 Be 2.73
Be8 0.7570 0.7500 0.1250  2 Sb 2.48, 2 Nb 2.54, 2 Be 2.73
Nb1 0.0000 0.0000 0.5000  4 Be 2.54, 2 Sb 2.73
Nb2 0.0000 0.5000 0.7500  4 Be 2.54, 2 Sb 2.73
Nb3 0.5000 0.0000 0.2500  4 Be 2.54, 2 Sb 2.73
Nb4 0.5000 0.5000 0.0000  4 Be 2.54, 2 Sb 2.73
Sb1 0.0000 0.0000 0.0000  4 Be 2.48, 2 Nb 2.73
Sb2 0.0000 0.5000 0.2500  4 Be 2.48, 2 Nb 2.73
Sb3 0.5000 0.0000 0.7500  4 Be 2.48, 2 Nb 2.73
Sb4 0.5000 0.5000 0.5000  4 Be 2.48, 2 Nb 2.73

***

# 6
Computed, not measured: a relaxed structure of MnBe2FeH at the PBE level of DFT.

Properties
Crystal system: tetragonal
Spin magnetization in μB per formula unit: 4.24
VASP energy in eV per cell: -28.3

abc: 3.5361 3.5361 3.3346
angles: 90.00 90.00 90.00
Last column: nearest neighbours and their distance in Å.
Sites, in units of the cell vectors:
Mn1 0.0000 0.0000 0.0000  8 Be 2.43, 4 Fe 2.50
Be1 0.0000 0.5000 0.5000  2 H 1.77
Be2 0.5000 0.0000 0.5000  2 H 1.77
Fe1 0.5000 0.5000 0.0000  2 H 1.67
H1 0.5000 0.5000 0.5000  2 Fe 1.67, 4 Be 1.77

***

# 7
Computed, not measured: a relaxed structure of SbOsPb2 at the PBE level of DFT.

Properties
Crystal system: monoclinic
E_form (uncorrected) in eV/atom: 0.5740
Spin magnetization in μB per formula unit: 0.00

abc: 3.2520 3.3060 9.5606
angles: 90.00 90.75 90.00
Last column: nearest neighbours and their distance in Å.
Sites, in units of the cell vectors:
Sb1 0.0000 0.0000 0.0000  4 Sb 3.25-3.31, 4 Pb 3.44
Os1 0.5000 0.0000 0.5000  8 Pb 2.91, 2 Os 3.25
Pb1 0.0071 0.5000 0.6845  4 Os 2.91, 2 Pb 3.25
Pb2 0.9929 0.5000 0.3155  4 Os 2.91, 2 Pb 3.25

***

# 8
Computed, not measured: a relaxed structure of ZrAlAs2 at the PBE level of DFT.

Properties
Crystal system: trigonal
Formation enthalpy at 0 K in eV/atom: -0.695
Spin magnetization in μB per formula unit: 0.00

abc: 3.8140 3.8140 6.2012
angles: 90.00 90.00 120.00
Last column: nearest neighbours and their distance in Å.
Sites, in units of the cell vectors:
Zr1 0.0000 0.0000 0.0000  6 As 2.78, 2 Al 3.10
Al1 0.0000 0.0000 0.5000  6 As 2.61
As1 0.3333 0.6667 0.2742  3 Al 2.61, 3 Zr 2.78
As2 0.6667 0.3333 0.7258  3 Al 2.61, 3 Zr 2.78

***

# 9
Computed, not measured: a relaxed structure of BeP2Os at the PBE level of DFT.

Properties
Crystal system: orthorhombic
Formation enthalpy at 0 K in eV/atom: 0.248
Spin magnetization in μB per formula unit: 0.00

abc: 3.0486 4.3379 7.3602
angles: 90.00 90.00 90.00
Last column: nearest neighbours and their distance in Å.
Sites, in units of the cell vectors:
Be1 0.0000 0.0000 0.0000  2 P 2.20
Be2 0.5000 0.5000 0.5000  2 P 2.20
P1 0.0000 0.0000 0.5504  2 P 2.30, 2 Os 2.54
P2 0.0000 0.5000 0.2839  2 Be 2.20, 2 P 2.30
P3 0.5000 0.0000 0.7839  2 Be 2.20, 2 P 2.30
P4 0.5000 0.5000 0.0504  2 P 2.30, 2 Os 2.54
Os1 0.0000 0.5000 0.7741  4 Be 2.53-2.73, 8 P 2.54-2.72
Os2 0.5000 0.0000 0.2741  4 Be 2.53-2.73, 8 P 2.54-2.72

***

# 10
Computed, not measured: a relaxed structure of PaBe2CuH8 at the PBE level of DFT.

Properties
Crystal system: trigonal
Spin magnetization in μB per formula unit: 1.87
VASP energy in eV per cell: -48.3

abc: 4.4455 4.4455 6.3599
angles: 90.00 90.00 120.00
Last column: nearest neighbours and their distance in Å.
Sites, in units of the cell vectors:
Pa1 0.0000 0.0000 0.0000  6 H 2.26
Be1 0.3333 0.6667 0.2316  4 H 1.43-1.50
Be2 0.6667 0.3333 0.7684  4 H 1.43-1.50
Cu1 0.0000 0.0000 0.5000  6 H 1.75
H1 0.1566 0.3132 0.3005  1 Be 1.43
H2 0.1566 0.8434 0.3005  1 Be 1.43
H3 0.3132 0.1566 0.6995  1 Be 1.43
H4 0.3333 0.6667 0.9960  1 Be 1.50
H5 0.6667 0.3333 0.0040  1 Be 1.50
H6 0.6868 0.8434 0.3005  1 Be 1.43
H7 0.8434 0.1566 0.6995  1 Be 1.43
H8 0.8434 0.6868 0.6995  1 Be 1.43

***

Which of these has the highest spin magnetization?
MnBe2FeH

***

Please write out number 2 again, unchanged.
Computed, not measured: a relaxed structure of Al4Cu8Ge at the PBE level of DFT.

Properties
Crystal system: orthorhombic
Formation enthalpy at 0 K in eV/atom: -0.087
Spin magnetization in μB per formula unit: 0.00

abc: 3.4762 3.7790 13.6235
angles: 90.00 90.00 90.00
Last column: nearest neighbours and their distance in Å.
Sites, in units of the cell vectors:
Al1 0.0000 0.0000 0.0000  10 Cu 2.54-2.67, 2 Al 2.81
Al2 0.0000 0.5000 0.1524  10 Cu 2.57-2.65, 2 Al 2.81
Al3 0.5000 0.0000 0.4228  10 Cu 2.56-2.60
Al4 0.5000 0.5000 0.5877  6 Cu 2.59-2.74
Cu1 0.0000 0.0000 0.2841  4 Al 2.57-2.61, 8 Cu 2.57-2.77
Cu2 0.0000 0.0000 0.5610  1 Ge 2.36, 6 Al 2.56-2.59, 2 Cu 2.58
Cu3 0.0000 0.5000 0.4325  6 Al 2.57-2.74, 6 Cu 2.58-2.77
Cu4 0.0000 0.5000 0.8617  2 Ge 2.56, 6 Cu 2.57-2.62, 2 Al 2.67
Cu5 0.5000 0.0000 0.1433  6 Al 2.57-2.61, 6 Cu 2.59-2.76
Cu6 0.5000 0.0000 0.8641  2 Ge 2.48, 2 Al 2.54, 6 Cu 2.57-2.70
Cu7 0.5000 0.5000 0.0055  6 Al 2.57-2.65, 6 Cu 2.62-2.70
Cu8 0.5000 0.5000 0.2912  4 Al 2.57-2.60, 8 Cu 2.57-2.76
Ge1 0.0000 0.0000 0.7346  5 Cu 2.36-2.56